Run 1
Pm6CdRu2, relaxed, DFT PBE; density = 8.02 Mg/m³; space group = C2/m, No. 12
1.0
5.1235 -2.6242 0.0000
5.1235 2.6242 0.0000
-1.8191 0.0000 9.1234
Pm Cd Ru
6 1 2
direct
0.0394 0.0394 0.3462
0.2907 0.2907 0.6632
0.3403 0.3403 0.1160
0.6597 0.6597 0.8840
0.7093 0.7093 0.3368
0.9606 0.9606 0.6538
0.0000 0.0000 0.0000
0.3868 0.3868 0.4022
0.6132 0.6132 0.5978


Run 2
Pm6CdRu2, relaxed, DFT PBE; density = 7.84 Mg/m³; space group = Immm, No. 71
1.0
-4.7946 4.9108 5.3275
4.7946 -4.9108 5.3275
4.7946 4.9108 -5.3275
Pm Cd Ru
12 2 4
direct
0.0350 0.2375 0.7975
0.1829 0.2850 0.4679
0.1829 0.7150 0.8978
0.3267 0.0137 0.6870
0.3267 0.6396 0.3130
0.4400 0.2375 0.2025
0.5600 0.7625 0.7975
0.6733 0.3604 0.6870
0.6733 0.9863 0.3130
0.8171 0.2850 0.1022
0.8171 0.7150 0.5321
0.9650 0.7625 0.2025
0.0000 0.0000 0.0000
0.5000 0.5000 0.0000
0.1245 0.6245 0.5000
0.3238 0.0000 0.3238
0.6762 0.0000 0.6762
0.8755 0.3755 0.5000


The structure shown above that is least stable: run 1.